Density functional theory data (PBE) for B3HCl after structural relaxation.

Cell: 3.850 3.850 3.850 Å, 90.00 90.00 90.00°
Space group Pm-3m (No. 221)
Asymmetric unit:
B 0.000 0.000 0.500 x3
H 0.500 0.500 0.500 x1
Cl 0.000 0.000 0.000 x1

Output
- energy (eV for the cell shown) = -10.249
- total magnetization (μB per formula unit) = 0.0
- DOS(E_F) (states/eV per cell) = 2.31
- distance to the lowest polymorph of the same formula (meV per atom) = 743